Record 1
A relaxed GaSnAu2 crystal, computed with PBE.

As for the space group: P4/mmm. The calculation puts the calculated density at 11.8 g/cm3. The calculation puts the volume at 82.14 Å³/cell. The energy of formation from the pure elements comes out at -0.2 eV per formula unit. The calculation puts the energy above the lowest structure with this stoichiometry at 139 meV/atom.

abc: 4.6271 4.6271 3.8364
angles: 90.00 90.00 90.00
Closest atoms and distances in Å follow each position.
Sites, in units of the cell vectors:
Ga  0.0000  0.0000  0.0000  8 Au 3.01, 4 Sn 3.27
Sn  0.5000  0.5000  0.0000  8 Au 3.01, 4 Ga 3.27
Au  0.0000  0.5000  0.5000  4 Sn 3.01, 4 Ga 3.01, 4 Au 3.27
Au  0.5000  0.0000  0.5000  4 Sn 3.01, 4 Ga 3.01, 4 Au 3.27

=====

Record 2
A relaxed NpAl3Ru4 crystal, computed with PBE.

As for the space group: Pmmm. The calculation puts the calculated density at 10.0 g/cm3. The calculation puts the volume at 119.34 Å³/cell. The energy of formation from the pure elements comes out at -4.2 eV per formula unit.

abc: 3.1647 4.3322 8.7045
angles: 90.00 90.00 90.00
Closest atoms and distances in Å follow each position.
Sites, in units of the cell vectors:
Np  0.0000  0.0000  0.0000  8 Ru 2.68-2.74
Al  0.0000  0.0000  0.5000  8 Ru 2.65-2.68, 4 Al 2.96
Al  0.0000  0.5000  0.2688  8 Ru 2.56-2.82
Al  0.0000  0.5000  0.7312  8 Ru 2.56-2.82
Ru  0.5000  0.0000  0.2564  6 Al 2.65-2.68, 2 Np 2.74
Ru  0.5000  0.0000  0.7436  6 Al 2.65-2.68, 2 Np 2.74
Ru  0.5000  0.5000  0.0000  4 Np 2.68, 4 Al 2.82
Ru  0.5000  0.5000  0.5000  8 Al 2.56-2.68

=====

Record 3
A relaxed MgH3O crystal, computed with PBE.

As for the space group: Pm-3m. The calculation puts the calculated density at 1.4 g/cm3. The calculation puts the volume at 51.89 Å³/cell. The calculation puts the energy above the lowest structure with this stoichiometry at 211 meV/atom.

abc: 3.7299 3.7299 3.7299
angles: 90.00 90.00 90.00
Closest atoms and distances in Å follow each position.
Sites, in units of the cell vectors:
Mg  0.0000  0.0000  0.0000  6 H 1.86
H  0.0000  0.0000  0.5000  2 Mg 1.86
H  0.0000  0.5000  0.0000  2 Mg 1.86
H  0.5000  0.0000  0.0000  2 Mg 1.86
O  0.5000  0.5000  0.5000  12 H 2.64

=====

Record 4
A relaxed RbZnInGe2 crystal, computed with PBE.

As for the space group: P4/mmm. The calculation puts the calculated density at 4.3 g/cm3. The calculation puts the volume at 160.44 Å³/cell. The energy of formation from the pure elements comes out at 2.3 eV per formula unit.

abc: 5.4575 5.4575 5.3868
angles: 90.00 90.00 90.00
Closest atoms and distances in Å follow each position.
Sites, in units of the cell vectors:
Rb  0.0000  0.0000  0.0000  8 Ge 3.83, 4 Zn 3.86
Zn  0.5000  0.5000  0.0000  2 In 2.69
In  0.5000  0.5000  0.5000  2 Zn 2.69, 4 Ge 2.73
Ge  0.0000  0.5000  0.5000  2 In 2.73
Ge  0.5000  0.0000  0.5000  2 In 2.73

=====

Record 5
A relaxed HoNbGa6 crystal, computed with PBE.

As for the space group: C2/m. The calculation puts the calculated density at 7.3 g/cm3. The calculation puts the volume at 153.09 Å³/cell. The energy of formation from the pure elements comes out at -1.4 eV per formula unit.

abc: 5.0297 5.0297 6.0651
angles: 92.68 92.68 90.60
Closest atoms and distances in Å follow each position.
Sites, in units of the cell vectors:
Ho  0.0000  0.0000  0.0000  10 Ga 2.95-3.26, 2 Nb 3.03
Nb  0.0000  0.0000  0.5000  10 Ga 2.79-3.12, 2 Ho 3.03
Ga  0.1341  0.5052  0.3142  4 Ga 2.65-2.70, 2 Nb 2.79-2.91
Ga  0.3718  0.3718  0.8063  5 Ga 2.70-2.87, 1 Ho 2.95
Ga  0.4948  0.8659  0.6858  4 Ga 2.65-2.70, 2 Nb 2.79-2.91
Ga  0.5052  0.1341  0.3142  4 Ga 2.65-2.70, 2 Nb 2.79-2.91
Ga  0.6282  0.6282  0.1937  5 Ga 2.70-2.87, 1 Ho 2.95
Ga  0.8659  0.4948  0.6858  4 Ga 2.65-2.70, 2 Nb 2.79-2.91

=====

Record 6
A relaxed YBiIr2 crystal, computed with PBE.

As for the space group: I-42d. The calculation puts the calculated density at 9.6 g/cm3. The calculation puts the volume at 236.72 Å³/cell. The energy of formation from the pure elements comes out at 1.8 eV per formula unit.

abc: 7.9132 7.9132 7.9132
angles: 135.90 135.90 64.13
Closest atoms and distances in Å follow each position.
Sites, in units of the cell vectors:
Y  0.0000  0.0000  0.0000  4 Ir 2.74
Y  0.7500  0.2500  0.5000  4 Ir 2.74
Bi  0.2500  0.7500  0.5000  4 Ir 2.64
Bi  0.5000  0.5000  0.0000  4 Ir 2.64
Ir  0.1409  0.6250  0.0159  2 Bi 2.64, 2 Y 2.74
Ir  0.3750  0.3909  0.5159  2 Bi 2.64, 2 Y 2.74
Ir  0.6091  0.1250  0.9841  2 Bi 2.64, 2 Y 2.74
Ir  0.8750  0.8591  0.4841  2 Bi 2.64, 2 Y 2.74

=====

Record 7
A relaxed La4HoTm3Bi8 crystal, computed with PBE.

As for the space group: R-3m. The calculation puts the calculated density at 8.9 g/cm3. The calculation puts the volume at 541.10 Å³/cell. The energy of formation from the pure elements comes out at -14.7 eV per formula unit.

abc: 9.1253 9.1253 9.1253
angles: 60.31 60.31 60.31
Closest atoms and distances in Å follow each position.
Sites, in units of the cell vectors:
La  0.0000  0.0000  0.0000  6 Bi 3.30
La  0.0000  0.5000  0.5000  6 Bi 3.30
La  0.5000  0.0000  0.5000  6 Bi 3.30
La  0.5000  0.5000  0.0000  6 Bi 3.30
Ho  0.5000  0.5000  0.5000  6 Bi 3.18
Tm  0.0000  0.0000  0.5000  6 Bi 3.17
Tm  0.0000  0.5000  0.0000  6 Bi 3.17
Tm  0.5000  0.0000  0.0000  6 Bi 3.17
Bi  0.2440  0.7453  0.7453  2 Tm 3.17, 1 Ho 3.18, 3 La 3.30
Bi  0.2446  0.2446  0.2446  3 Tm 3.17, 3 La 3.30
Bi  0.2547  0.2547  0.7560  2 Tm 3.17, 1 Ho 3.18, 3 La 3.30
Bi  0.2547  0.7560  0.2547  2 Tm 3.17, 1 Ho 3.18, 3 La 3.30
Bi  0.7453  0.2440  0.7453  2 Tm 3.17, 1 Ho 3.18, 3 La 3.30
Bi  0.7453  0.7453  0.2440  2 Tm 3.17, 1 Ho 3.18, 3 La 3.30
Bi  0.7554  0.7554  0.7554  3 Tm 3.17, 3 La 3.30
Bi  0.7560  0.2547  0.2547  2 Tm 3.17, 1 Ho 3.18, 3 La 3.30

=====

Record 8
A relaxed PrCd3Rh2 crystal, computed with PBE.

As for the space group: P-1. The calculation puts the calculated density at 8.8 g/cm3. The calculation puts the volume at 259.37 Å³/cell. The energy of formation from the pure elements comes out at -1.7 eV per formula unit.

abc: 4.1056 8.5125 8.5154
angles: 65.40 76.14 76.12
Closest atoms and distances in Å follow each position.
Sites, in units of the cell vectors:
Pr  0.1348  0.3651  0.3647  6 Rh 3.05-3.10, 2 Cd 3.26
Pr  0.8652  0.6349  0.6353  6 Rh 3.05-3.10, 2 Cd 3.26
Cd  0.0008  0.8452  0.1547  4 Rh 2.79-3.05, 1 Cd 2.85
Cd  0.3285  0.9654  0.3781  3 Rh 2.75-2.81, 1 Cd 3.08
Cd  0.3287  0.3770  0.9658  3 Rh 2.75-2.81
Cd  0.6713  0.6230  0.0342  3 Rh 2.75-2.81
Cd  0.6715  0.0346  0.6219  3 Rh 2.75-2.81, 1 Cd 3.08
Cd  0.9992  0.1548  0.8453  4 Rh 2.79-3.05, 1 Cd 2.85
Rh  0.1957  0.8043  0.8035  6 Cd 2.81-3.05, 2 Pr 3.09-3.10
Rh  0.4991  0.3606  0.6394  1 Rh 2.56, 4 Cd 2.75-2.79
Rh  0.5009  0.6394  0.3606  1 Rh 2.56, 4 Cd 2.75-2.79
Rh  0.8043  0.1957  0.1965  6 Cd 2.81-3.05, 2 Pr 3.09-3.10

=====

> What is the formula in the sixth record?

YBiIr2

=====

> The highest calculated density belongs to which entry?

GaSnAu2

=====

> Which of these has the lowest calculated density?

MgH3O